Entry 1:
First-principles (PBE-GGA) data for CrSbSe2 after structural relaxation, as listed in Alexandria.

abc: 2.9628 2.9628 10.6004
angles: 90.00 90.00 90.04
Closest atoms and distances in Å follow each position.
Element x y z (fractional)
Se  0.0000  0.0000  0.3918  4 Cr 2.58
Se  0.0000  0.0000  0.1082  4 Cr 2.58
Sb  0.5000  0.5000  0.7500  4 Sb 2.96
Cr  0.5000  0.5000  0.2500  8 Se 2.58

Properties
Energy above the most stable polymorph in this dataset, meV/atom: 317
E, eV per atom: -5.18
Uncorrected formation energy, eV per atom: 0.001
M_tot, μB per atom: 0.000

***

Entry 2:
First-principles (PBE-GGA) data for Rb2MgUTe4 after structural relaxation, as listed in Alexandria.

abc: 4.5103 7.7762 8.9067
angles: 107.51 90.00 90.00
Closest atoms and distances in Å follow each position.
Element x y z (fractional)
U  0.5000  0.5000  0.0000  6 Te 3.07-3.09
Mg  0.0000  0.0000  0.0000  6 Te 3.03-3.13
Rb  0.0000  0.5000  0.5000  6 Te 3.64-3.72
Rb  0.5000  0.0000  0.5000  6 Te 3.64-3.72
Te  0.5000  0.7737  0.8130  2 Mg 3.03, 1 U 3.07
Te  0.0000  0.2697  0.8002  2 U 3.09, 1 Mg 3.13
Te  0.5000  0.2263  0.1870  2 Mg 3.03, 1 U 3.07
Te  0.0000  0.7303  0.1998  2 U 3.09, 1 Mg 3.13

Properties
E, eV per atom: -4.30
Uncorrected formation energy, eV per atom: -0.882
M_tot, μB per atom: 0.250

***

Entry 3:
First-principles (PBE-GGA) data for K3RbPd8 after structural relaxation, as listed in Alexandria.

abc: 5.6245 5.6245 9.7672
angles: 73.27 73.27 60.00
Closest atoms and distances in Å follow each position.
Element x y z (fractional)
Pd  0.6876  0.6876  0.9372  6 Pd 2.80
Pd  0.9387  0.4382  0.1850  6 Pd 2.80-2.84
Pd  0.9372  0.9372  0.6899  6 Pd 2.80-2.83
Pd  0.9372  0.4358  0.6899  6 Pd 2.80-2.83
Pd  0.4382  0.9387  0.1850  6 Pd 2.80-2.84
Pd  0.4358  0.9372  0.6899  6 Pd 2.80-2.83
Pd  0.1873  0.1873  0.4381  6 Pd 2.83-2.84
Pd  0.4382  0.4382  0.1850  6 Pd 2.80-2.84
K  0.4999  0.4999  0.5004  12 Pd 3.30-3.33, 3 Rb 3.44, 1 K 3.45
K  0.3750  0.3750  0.8750  12 Pd 3.28-3.30, 4 K 3.44-3.45
K  0.0003  0.0003  0.9990  12 Pd 3.28-3.30, 3 K 3.44, 1 Rb 3.47
Rb  0.8748  0.8748  0.3757  12 Pd 3.30-3.32, 4 K 3.44-3.47

Properties
Energy of formation from the pure elements, eV per atom: 0.003
E, eV per atom: -3.81
M_tot, μB per atom: 0.000

***

Entry 4:
First-principles (PBE-GGA) data for KBa3Ni after structural relaxation, as listed in Alexandria.

abc: 7.8260 7.8260 12.1529
angles: 71.22 71.22 60.00
Closest atoms and distances in Å follow each position.
Element x y z (fractional)
Ni  0.1670  0.1670  0.4990  6 Ba 3.08
Ni  0.8330  0.8330  0.5011  6 Ba 3.08
K  0.3347  0.3347  0.9959  3 K 4.52, 6 Ba 4.73
K  0.6653  0.6653  0.0041  3 K 4.52, 6 Ba 4.73
Ba  0.4476  0.7963  0.6525  2 Ni 3.08
Ba  0.8964  0.5524  0.3475  2 Ni 3.08
Ba  0.5524  0.2037  0.3475  2 Ni 3.08
Ba  0.1036  0.4476  0.6525  2 Ni 3.08
Ba  0.7963  0.1036  0.6525  2 Ni 3.08
Ba  0.2037  0.8964  0.3475  2 Ni 3.08

Properties
Energy of formation from the pure elements, eV per atom: 0.051
Energy above the most stable polymorph in this dataset, meV/atom: 7
E, eV per atom: -2.48
M_tot, μB per atom: 0.000

***

Entry 5:
First-principles (PBE-GGA) data for Ce2Pa2Se5 after structural relaxation, as listed in Alexandria.

abc: 4.1519 4.1519 19.1518
angles: 90.00 90.00 120.00
Closest atoms and distances in Å follow each position.
Element x y z (fractional)
Se  0.6667  0.3333  0.0945  3 Pa 2.84
Se  0.3333  0.6667  0.3201  1 Pa 2.80, 3 Ce 2.94
Se  0.3333  0.6667  0.9055  3 Pa 2.84
Se  0.0000  0.0000  0.5000  6 Ce 2.96
Se  0.6667  0.3333  0.6799  1 Pa 2.80, 3 Ce 2.94
Ce  0.3333  0.6667  0.5907  6 Se 2.94-2.96
Ce  0.6667  0.3333  0.4093  6 Se 2.94-2.96
Pa  0.3333  0.6667  0.1738  4 Se 2.80-2.84
Pa  0.6667  0.3333  0.8262  4 Se 2.80-2.84

Properties
E, eV per atom: -6.58
Uncorrected formation energy, eV per atom: -1.212
M_tot, μB per atom: 0.742

***

Entry 6:
First-principles (PBE-GGA) data for Sm2Al3Ag5 after structural relaxation, as listed in Alexandria.

abc: 5.8984 8.9974 8.9974
angles: 72.89 70.87 70.87
Closest atoms and distances in Å follow each position.
Element x y z (fractional)
Ag  0.4140  0.2665  0.9054  3 Al 2.56-2.68
Ag  0.0860  0.0946  0.7335  3 Al 2.56-2.68
Ag  0.0454  0.2046  0.2046  3 Al 2.63-2.70, 2 Ag 2.89
Ag  0.5454  0.2046  0.2046  3 Al 2.63-2.70, 2 Ag 2.89
Ag  0.2500  0.5000  0.5000  4 Al 2.66, 2 Ag 2.95
Ag  0.7500  0.5000  0.5000  4 Al 2.66, 2 Ag 2.95
Ag  0.5860  0.7335  0.0946  3 Al 2.56-2.68
Ag  0.4546  0.7954  0.7954  3 Al 2.63-2.70, 2 Ag 2.89
Ag  0.9546  0.7954  0.7954  3 Al 2.63-2.70, 2 Ag 2.89
Ag  0.9140  0.9054  0.2665  3 Al 2.56-2.68
Sm  0.3535  0.8680  0.4250  10 Ag 3.23-3.56, 4 Al 3.25-3.36
Sm  0.1465  0.5750  0.1320  10 Ag 3.23-3.56, 4 Al 3.25-3.36
Sm  0.8535  0.4250  0.8680  10 Ag 3.23-3.56, 4 Al 3.25-3.36
Sm  0.6465  0.1320  0.5750  10 Ag 3.23-3.56, 4 Al 3.25-3.36
Al  0.1493  0.2576  0.4438  5 Ag 2.56-2.66
Al  0.8507  0.7424  0.5562  5 Ag 2.56-2.66
Al  0.6493  0.4438  0.2576  5 Ag 2.56-2.66
Al  0.2500  0.0000  0.0000  6 Ag 2.68-2.70, 2 Al 2.95
Al  0.7500  0.0000  0.0000  6 Ag 2.68-2.70, 2 Al 2.95
Al  0.3507  0.5562  0.7424  5 Ag 2.56-2.66

Properties
Energy of formation from the pure elements, eV per atom: -0.260
Energy above the most stable polymorph in this dataset, meV/atom: 7
E, eV per atom: -3.75
M_tot, μB per atom: 0.000

***

Entry 7:
First-principles (PBE-GGA) data for K3Nd2PuS6 after structural relaxation, as listed in Alexandria.

abc: 7.2418 7.2418 7.7518
angles: 98.96 98.96 120.00
Closest atoms and distances in Å follow each position.
Element x y z (fractional)
S  0.7402  0.7402  0.2054  1 Pu 2.82, 2 Nd 2.86
S  0.9316  0.6032  0.7946  1 Pu 2.82, 2 Nd 2.86-2.87
S  0.0684  0.3968  0.2054  1 Pu 2.82, 2 Nd 2.86-2.87
S  0.3968  0.0684  0.2054  1 Pu 2.82, 2 Nd 2.86-2.87
S  0.2598  0.2598  0.7946  1 Pu 2.82, 2 Nd 2.86
S  0.6032  0.9316  0.7946  1 Pu 2.82, 2 Nd 2.86-2.87
K  0.1675  0.8325  0.5000  6 S 3.23-3.27
K  0.8325  0.1675  0.5000  6 S 3.23-3.27
K  0.5000  0.5000  0.5000  6 S 3.23-3.27
Nd  0.3335  0.6665  0.0000  6 S 2.86-2.87
Nd  0.6665  0.3335  0.0000  6 S 2.86-2.87
Pu  0.0000  0.0000  0.0000  6 S 2.82

Properties
E, eV per atom: -6.07
Uncorrected formation energy, eV per atom: -1.747
M_tot, μB per atom: 0.417

***

Entry 8:
First-principles (PBE-GGA) data for Dy3SiIr2 after structural relaxation, as listed in Alexandria.

abc: 3.9358 11.9377 11.4469
angles: 90.00 90.00 90.00
Closest atoms and distances in Å follow each position.
Element x y z (fractional)
Dy  0.7500  0.9439  0.1282  5 Ir 2.98-3.14, 3 Si 3.05
Dy  0.2500  0.1166  0.5573  5 Ir 3.00-3.10, 1 Si 3.01
Dy  0.7500  0.8834  0.4427  5 Ir 3.00-3.10, 1 Si 3.01
Dy  0.7500  0.6166  0.9427  5 Ir 3.00-3.10, 1 Si 3.01
Dy  0.7500  0.1936  0.3030  3 Ir 2.85-2.88, 2 Si 2.91
Dy  0.2500  0.6936  0.1970  3 Ir 2.85-2.88, 2 Si 2.91
Dy  0.2500  0.0561  0.8718  5 Ir 2.98-3.14, 3 Si 3.05
Dy  0.2500  0.4439  0.3718  5 Ir 2.98-3.14, 3 Si 3.05
Dy  0.7500  0.3064  0.8030  3 Ir 2.85-2.88, 2 Si 2.91
Dy  0.7500  0.5561  0.6282  5 Ir 2.98-3.14, 3 Si 3.05
Dy  0.2500  0.3834  0.0573  5 Ir 3.00-3.10, 1 Si 3.01
Dy  0.2500  0.8064  0.6970  3 Ir 2.85-2.88, 2 Si 2.91
Si  0.7500  0.6392  0.3759  3 Ir 2.36-2.52
Si  0.2500  0.1392  0.1241  3 Ir 2.36-2.52
Si  0.7500  0.8608  0.8759  3 Ir 2.36-2.52
Si  0.2500  0.3608  0.6241  3 Ir 2.36-2.52
Ir  0.7500  0.9790  0.6939  1 Si 2.52
Ir  0.2500  0.4790  0.8061  1 Si 2.52
Ir  0.7500  0.5210  0.1939  1 Si 2.52
Ir  0.2500  0.0210  0.3061  1 Si 2.52
Ir  0.7500  0.3141  0.5206  2 Si 2.36
Ir  0.2500  0.6859  0.4794  2 Si 2.36
Ir  0.2500  0.8141  0.9794  2 Si 2.36
Ir  0.7500  0.1859  0.0206  2 Si 2.36

Properties
E, eV per atom: -7.00
Uncorrected formation energy, eV per atom: -0.839
M_tot, μB per atom: 0.000

***

Entry 9:
First-principles (PBE-GGA) data for Y2TlTc after structural relaxation, as listed in Alexandria.

abc: 9.5766 9.5766 9.5766
angles: 21.19 21.19 21.19
Closest atoms and distances in Å follow each position.
Element x y z (fractional)
Y  0.5113  0.5113  0.5113  3 Tc 2.87
Y  0.9887  0.9887  0.9887  3 Tc 2.87
Tc  0.2500  0.2500  0.2500  6 Y 2.87
Tl  0.7500  0.7500  0.7500  6 Y 3.34, 6 Tl 3.52

Properties
Energy of formation from the pure elements, eV per atom: -0.001
E, eV per atom: -6.42
M_tot, μB per atom: 0.000

***

Entry 10:
First-principles (PBE-GGA) data for YHoAs2 after structural relaxation, as listed in Alexandria.

abc: 4.1134 4.1134 7.1196
angles: 89.98 106.80 120.01
Closest atoms and distances in Å follow each position.
Element x y z (fractional)
As  0.4988  0.7494  0.2482  3 Ho 2.90, 3 Y 2.91
As  0.5013  0.2506  0.7519  3 Ho 2.90, 3 Y 2.91-2.92
Ho  0.0000  0.0000  0.0000  6 As 2.90
Y  0.0000  0.5000  0.5000  6 As 2.91-2.92

Properties
Energy of formation from the pure elements, eV per atom: -1.543
Energy above the most stable polymorph in this dataset, meV/atom: 2
E, eV per atom: -6.63
M_tot, μB per atom: 0.000

***

Entry 11:
First-principles (PBE-GGA) data for AlCr2Ni2 after structural relaxation, as listed in Alexandria.

abc: 6.6658 6.6658 2.8663
angles: 90.00 90.00 90.00
Closest atoms and distances in Å follow each position.
Element x y z (fractional)
Al  0.0000  0.0000  0.0000  4 Ni 2.62, 8 Cr 2.86, 2 Al 2.87
Al  0.5000  0.5000  0.0000  4 Ni 2.62, 8 Cr 2.86, 2 Al 2.87
Cr  0.8315  0.3315  0.5000  6 Ni 2.39-2.46
Cr  0.3315  0.1685  0.5000  6 Ni 2.39-2.46
Cr  0.1685  0.6685  0.5000  6 Ni 2.39-2.46
Cr  0.6685  0.8315  0.5000  6 Ni 2.39-2.46
Ni  0.1284  0.3716  0.0000  6 Cr 2.39-2.46, 1 Ni 2.42, 2 Al 2.62
Ni  0.8716  0.6284  0.0000  6 Cr 2.39-2.46, 1 Ni 2.42, 2 Al 2.62
Ni  0.6284  0.1284  0.0000  6 Cr 2.39-2.46, 1 Ni 2.42, 2 Al 2.62
Ni  0.3716  0.8716  0.0000  6 Cr 2.39-2.46, 1 Ni 2.42, 2 Al 2.62

Properties
Energy of formation from the pure elements, eV per atom: 0.097
E, eV per atom: -6.81
M_tot, μB per atom: 0.895

***

Entry 12:
First-principles (PBE-GGA) data for Li2AgTe after structural relaxation, as listed in Alexandria.

abc: 4.3337 4.3337 4.0357
angles: 90.03 90.03 90.04
Closest atoms and distances in Å follow each position.
Element x y z (fractional)
Ag  0.0000  0.5000  0.5000  8 Li 2.96, 4 Te 3.06-3.07
Li  0.5000  0.5000  0.0000  4 Ag 2.96, 4 Te 2.96, 4 Li 3.06-3.07
Li  0.0000  0.0000  0.0000  4 Te 2.96, 4 Ag 2.96, 4 Li 3.06-3.07
Te  0.5000  0.0000  0.5000  8 Li 2.96, 4 Ag 3.06-3.07

Properties
E, eV per atom: -2.98
Uncorrected formation energy, eV per atom: -0.522
M_tot, μB per atom: 0.000

***

Taking the records one at a time from the top gives theoretical density values of 5.92; 5.26; 6.94; 2.83; 6.60; 7.34; 4.18; 11.12; 7.93; 6.82; 6.48; 5.46 g cm⁻³.